1.
NbZnAg3 | PBE | optimized geometry

Cell: 5.216 5.216 5.216 Å, 90.00 90.00 90.00°
Sites, in units of the cell vectors:
Nb 0.000 0.000 0.000
Zn 0.500 0.500 0.500
Ag 0.000 0.000 0.500
Ag 0.000 0.500 0.000
Ag 0.500 0.000 0.000

Results
For the excess energy over the best structure of this formula in the dataset, the calculation gives 551.7 meV/atom. The calculation puts the total energy at -12.52 eV per formula unit. As for the space group: No. 221.



2.
Li2SCl | PBE | optimized geometry

Cell: 3.523 3.523 22.089 Å, 90.00 90.00 120.00°
Sites, in units of the cell vectors:
Li 0.000 0.000 0.102
Li 0.000 0.000 0.898
Li 0.333 0.667 0.565
Li 0.333 0.667 0.769
Li 0.667 0.333 0.231
Li 0.667 0.333 0.435
S 0.000 0.000 0.000
S 0.333 0.667 0.667
S 0.667 0.333 0.333
Cl 0.000 0.000 0.500
Cl 0.333 0.667 0.167
Cl 0.667 0.333 0.833

Results
For the excess energy over the best structure of this formula in the dataset, the calculation gives 70.3 meV/atom. The uncorrected formation energy comes out at -0.99 eV per atom. The calculation puts the total energy at -13.75 eV per formula unit. As for the space group: No. 166.



3.
PrNdCoNi | PBE | optimized geometry

Cell: 3.999 3.958 11.157 Å, 90.00 90.00 90.00°
Sites, in units of the cell vectors:
Pr 0.000 0.000 0.000
Pr 0.000 0.500 0.500
Nd 0.500 0.000 0.279
Nd 0.500 0.500 0.779
Co 0.000 0.000 0.708
Co 0.000 0.500 0.208
Ni 0.500 0.000 0.579
Ni 0.500 0.500 0.079

Results
For the excess energy over the best structure of this formula in the dataset, the calculation gives 0.0 meV/atom. The calculation puts the total energy at -23.08 eV per formula unit. As for the space group: No. 38.



4.
Si2NiOsC | PBE | optimized geometry

Cell: 4.021 4.021 3.861 Å, 90.00 90.00 90.00°
Sites, in units of the cell vectors:
Si 0.000 0.500 0.000
Si 0.500 0.000 0.000
Ni 0.000 0.000 0.500
Os 0.500 0.500 0.500
C 0.500 0.500 0.000

Results
The uncorrected formation energy comes out at 0.79 eV per atom. The calculation puts the total energy at -33.15 eV per formula unit. As for the space group: No. 123.



5.
TlIrPt | PBE | optimized geometry

Cell: 3.024 3.024 6.701 Å, 90.00 90.00 120.00°
Sites, in units of the cell vectors:
Tl 0.000 0.000 0.000
Ir 0.333 0.667 0.337
Pt 0.667 0.333 0.657

Results
For the excess energy over the best structure of this formula in the dataset, the calculation gives 53.8 meV/atom. The calculation puts the total energy at -15.87 eV per formula unit. As for the space group: No. 156.



6.
Zr2RhPb | PBE | optimized geometry

Cell: 3.248 4.002 6.363 Å, 90.00 93.03 90.00°
Sites, in units of the cell vectors:
Zr 0.023 0.000 0.272
Zr 0.977 0.000 0.728
Rh 0.500 0.500 0.500
Pb 0.500 0.500 0.000

Results
The calculation puts the total energy at -29.45 eV per formula unit. As for the space group: No. 10.



7.
Ce2TlBi9 | PBE | optimized geometry

Cell: 4.888 4.888 15.538 Å, 90.00 90.00 90.00°
Sites, in units of the cell vectors:
Ce 0.000 0.000 0.159
Ce 0.000 0.000 0.841
Tl 0.000 0.000 0.500
Bi 0.000 0.500 0.000
Bi 0.000 0.500 0.329
Bi 0.000 0.500 0.671
Bi 0.500 0.000 0.000
Bi 0.500 0.000 0.329
Bi 0.500 0.000 0.671
Bi 0.500 0.500 0.167
Bi 0.500 0.500 0.500
Bi 0.500 0.500 0.833

Results
The calculation puts the total energy at -52.58 eV per formula unit. As for the space group: No. 123.



8.
Cd2Ge2Sb | PBE | optimized geometry

Cell: 8.562 8.562 3.165 Å, 90.00 90.00 90.00°
Sites, in units of the cell vectors:
Cd 0.180 0.320 0.000
Cd 0.320 0.820 0.000
Cd 0.680 0.180 0.000
Cd 0.820 0.680 0.000
Ge 0.112 0.612 0.500
Ge 0.388 0.112 0.500
Ge 0.612 0.888 0.500
Ge 0.888 0.388 0.500
Sb 0.000 0.000 0.000
Sb 0.500 0.500 0.000

Results
For the excess energy over the best structure of this formula in the dataset, the calculation gives 19.2 meV/atom. The uncorrected formation energy comes out at 0.24 eV per atom. The calculation puts the total energy at -14.01 eV per formula unit. As for the space group: No. 127.